A relaxed structure of NiAsCl2, computed with PBE-GGA.

Results
The value obtained for the polymorph energy (0 for the lowest one) is 165 meV per atom. The calculation puts the magnetic moment at 0.0 Bohr magnetons per cell. For the uncorrected formation energy, the calculation gives -0.293 eV per atom. The crystal system is monoclinic.

a = 4.8473 Å, b = 3.3613 Å, c = 5.0290 Å
α = 90.00°, β = 104.22°, γ = 90.00°
Fractional coordinates of all 4 atoms:
Ni1 0.0000 0.0000 0.0000
As1 0.1890 0.5000 0.3181
Cl1 0.5221 0.0000 0.0247
Cl2 0.8871 0.5000 0.6403